(1)
CaAcN after structural relaxation. Source: Alexandria, functional GGA-PBE.

Values from the calculation:
raw total energy	-5.254	eV per atom
SG	Fmm2 (42)

abc: 3.5968 7.1872 13.9675
angles: 90.00 90.00 90.00
With the nearest neighbours (Å) after each atom.
Sites, in units of the cell vectors:
Ca: 0.0000 0.0000 0.0000  2 N 2.43
Ca: 0.0000 0.5000 0.5000  2 N 2.43
Ca: 0.5000 0.0000 0.5000  2 N 2.43
Ca: 0.5000 0.5000 0.0000  2 N 2.43
Ac: 0.0000 0.0000 0.7670  2 N 2.42
Ac: 0.0000 0.5000 0.2670  2 N 2.42
Ac: 0.5000 0.0000 0.2670  2 N 2.42
Ac: 0.5000 0.5000 0.7670  2 N 2.42
N: 0.0000 0.0000 0.3830  2 Ac 2.42, 2 Ca 2.43
N: 0.0000 0.5000 0.8830  2 Ac 2.42, 2 Ca 2.43
N: 0.5000 0.0000 0.8830  2 Ac 2.42, 2 Ca 2.43
N: 0.5000 0.5000 0.3830  2 Ac 2.42, 2 Ca 2.43

(2)
Ca3AcN3 after structural relaxation. Source: Alexandria, functional GGA-PBE.

Values from the calculation:
raw total energy	-5.766	eV per atom
SG	R-3 (148)

abc: 7.5204 7.5204 7.5204
angles: 56.97 56.97 56.97
With the nearest neighbours (Å) after each atom.
Sites, in units of the cell vectors:
Ca: 0.1160 0.6896 0.3545  4 N 2.42-2.59
Ca: 0.3104 0.6455 0.8840  4 N 2.42-2.59
Ca: 0.3545 0.1160 0.6896  4 N 2.42-2.59
Ca: 0.6455 0.8840 0.3104  4 N 2.42-2.59
Ca: 0.6896 0.3545 0.1160  4 N 2.42-2.59
Ca: 0.8840 0.3104 0.6455  4 N 2.42-2.59
Ac: 0.1826 0.1826 0.1826  3 N 2.54
Ac: 0.8174 0.8174 0.8174  3 N 2.54
N: 0.0180 0.4323 0.7781  4 Ca 2.42-2.59, 1 Ac 2.54
N: 0.2219 0.9820 0.5677  4 Ca 2.42-2.59, 1 Ac 2.54
N: 0.4323 0.7781 0.0180  4 Ca 2.42-2.59, 1 Ac 2.54
N: 0.5677 0.2219 0.9820  4 Ca 2.42-2.59, 1 Ac 2.54
N: 0.7781 0.0180 0.4323  4 Ca 2.42-2.59, 1 Ac 2.54
N: 0.9820 0.5677 0.2219  4 Ca 2.42-2.59, 1 Ac 2.54

(3)
CaAcN after structural relaxation. Source: Alexandria, functional GGA-PBE.

Values from the calculation:
raw total energy	-4.950	eV per atom
SG	F-43m (216)

abc: 6.4467 6.4467 6.4467
angles: 90.00 90.00 90.00
With the nearest neighbours (Å) after each atom.
Sites, in units of the cell vectors:
Ca: 0.0000 0.0000 0.0000  4 N 2.79
Ca: 0.0000 0.5000 0.5000  4 N 2.79
Ca: 0.5000 0.0000 0.5000  4 N 2.79
Ca: 0.5000 0.5000 0.0000  4 N 2.79
Ac: 0.0000 0.0000 0.5000  4 N 2.79
Ac: 0.0000 0.5000 0.0000  4 N 2.79
Ac: 0.5000 0.0000 0.0000  4 N 2.79
Ac: 0.5000 0.5000 0.5000  4 N 2.79
N: 0.2500 0.2500 0.7500  4 Ac 2.79, 4 Ca 2.79
N: 0.2500 0.7500 0.2500  4 Ac 2.79, 4 Ca 2.79
N: 0.7500 0.2500 0.2500  4 Ac 2.79, 4 Ca 2.79
N: 0.7500 0.7500 0.7500  4 Ac 2.79, 4 Ca 2.79

(4)
CaAcN after structural relaxation. Source: Alexandria, functional GGA-PBE.

Values from the calculation:
raw total energy	-5.470	eV per atom
SG	P3m1 (156)

abc: 3.7536 3.7536 6.6055
angles: 90.00 90.00 120.00
With the nearest neighbours (Å) after each atom.
Sites, in units of the cell vectors:
Ca: 0.0000 0.0000 0.0000  3 N 2.62
Ac: 0.6667 0.3333 0.4306  3 N 2.57
N: 0.3333 0.6667 0.2218  3 Ac 2.57, 3 Ca 2.62

(5)
Ca3AcN after structural relaxation. Source: Alexandria, functional GGA-PBE.

Values from the calculation:
raw total energy	-3.779	eV per atom
SG	Pm-3m (221)

abc: 5.2583 5.2583 5.2583
angles: 90.00 90.00 90.00
With the nearest neighbours (Å) after each atom.
Sites, in units of the cell vectors:
Ca: 0.0000 0.0000 0.5000  2 N 2.63
Ca: 0.0000 0.5000 0.0000  2 N 2.63
Ca: 0.5000 0.0000 0.0000  2 N 2.63
Ac: 0.5000 0.5000 0.5000  12 Ca 3.72
N: 0.0000 0.0000 0.0000  6 Ca 2.63

(6)
Ca2AcN2 after structural relaxation. Source: Alexandria, functional GGA-PBE.

Values from the calculation:
raw total energy	-5.566	eV per atom
SG	I4/mmm (139)

abc: 3.7146 3.7146 15.0971
angles: 90.00 90.00 90.00
With the nearest neighbours (Å) after each atom.
Sites, in units of the cell vectors:
Ca: 0.0000 0.0000 0.1788  5 N 2.45-2.64
Ca: 0.0000 0.0000 0.8212  5 N 2.45-2.64
Ca: 0.5000 0.5000 0.3212  5 N 2.45-2.64
Ca: 0.5000 0.5000 0.6788  5 N 2.45-2.64
Ac: 0.0000 0.0000 0.5000  2 N 2.40
Ac: 0.5000 0.5000 0.0000  2 N 2.40
N: 0.0000 0.0000 0.3410  1 Ac 2.40, 5 Ca 2.45-2.64
N: 0.0000 0.0000 0.6590  1 Ac 2.40, 5 Ca 2.45-2.64
N: 0.5000 0.5000 0.1590  1 Ac 2.40, 5 Ca 2.45-2.64
N: 0.5000 0.5000 0.8410  1 Ac 2.40, 5 Ca 2.45-2.64

(7)
Ca2AcN after structural relaxation. Source: Alexandria, functional GGA-PBE.

Values from the calculation:
raw total energy	-4.641	eV per atom
SG	P4/nmm (129)

abc: 3.9754 3.9754 15.5962
angles: 90.00 90.00 90.00
With the nearest neighbours (Å) after each atom.
Sites, in units of the cell vectors:
Ca: 0.2500 0.2500 0.0867  12 Ca 3.90-3.98
Ca: 0.2500 0.2500 0.7399  1 N 2.43
Ca: 0.7500 0.7500 0.2601  1 N 2.43
Ca: 0.7500 0.7500 0.9133  12 Ca 3.90-3.98
Ac: 0.2500 0.2500 0.4189  5 N 2.57-2.81
Ac: 0.7500 0.7500 0.5811  5 N 2.57-2.81
N: 0.2500 0.2500 0.5839  1 Ca 2.43, 1 Ac 2.57
N: 0.7500 0.7500 0.4161  1 Ca 2.43, 1 Ac 2.57

(8)
Ca2AcN after structural relaxation. Source: Alexandria, functional GGA-PBE.

Values from the calculation:
raw total energy	-4.533	eV per atom
SG	R-3m (166)

abc: 3.6399 3.6399 31.0424
angles: 90.00 90.00 120.00
With the nearest neighbours (Å) after each atom.
Sites, in units of the cell vectors:
Ca: 0.0000 0.0000 0.1264  3 N 2.45
Ca: 0.0000 0.0000 0.8736  3 N 2.45
Ca: 0.3333 0.6667 0.5403  3 N 2.45
Ca: 0.3333 0.6667 0.7930  3 N 2.45
Ca: 0.6667 0.3333 0.2070  3 N 2.45
Ca: 0.6667 0.3333 0.4597  3 N 2.45
Ac: 0.0000 0.0000 0.0000  6 Ac 3.64, 2 Ca 3.92
Ac: 0.3333 0.6667 0.6667  6 Ac 3.64, 2 Ca 3.92
Ac: 0.6667 0.3333 0.3333  6 Ac 3.64, 2 Ca 3.92
N: 0.0000 0.0000 0.5000  6 Ca 2.45
N: 0.3333 0.6667 0.1667  6 Ca 2.45
N: 0.6667 0.3333 0.8333  6 Ca 2.45

(9)
CaAcN2 after structural relaxation. Source: Alexandria, functional GGA-PBE.

Values from the calculation:
raw total energy	-6.275	eV per atom
SG	R3m (160)

abc: 3.7219 3.7219 18.6687
angles: 90.00 90.00 120.00
With the nearest neighbours (Å) after each atom.
Sites, in units of the cell vectors:
Ca: 0.0000 0.0000 0.0000  6 N 2.58-2.76
Ca: 0.3333 0.6667 0.6667  6 N 2.58-2.76
Ca: 0.6667 0.3333 0.3333  6 N 2.58-2.76
Ac: 0.0000 0.0000 0.8277  6 N 2.61-2.66
Ac: 0.3333 0.6667 0.4943  6 N 2.61-2.66
Ac: 0.6667 0.3333 0.1610  6 N 2.61-2.66
N: 0.0000 0.0000 0.2407  3 Ac 2.61, 3 Ca 2.76
N: 0.0000 0.0000 0.4103  3 Ca 2.58, 3 Ac 2.66
N: 0.3333 0.6667 0.0770  3 Ca 2.58, 3 Ac 2.66
N: 0.3333 0.6667 0.9074  3 Ac 2.61, 3 Ca 2.76
N: 0.6667 0.3333 0.5741  3 Ac 2.61, 3 Ca 2.76
N: 0.6667 0.3333 0.7436  3 Ca 2.58, 3 Ac 2.66

(10)
CaAcN after structural relaxation. Source: Alexandria, functional GGA-PBE.

Values from the calculation:
raw total energy	-5.513	eV per atom
SG	P4/nmm (129)

abc: 3.9692 3.9692 10.2922
angles: 90.00 90.00 90.00
With the nearest neighbours (Å) after each atom.
Sites, in units of the cell vectors:
Ca: 0.2500 0.2500 0.1344  1 N 2.45
Ca: 0.7500 0.7500 0.8656  1 N 2.45
Ac: 0.2500 0.2500 0.6232  5 N 2.59-2.81
Ac: 0.7500 0.7500 0.3768  5 N 2.59-2.81
N: 0.2500 0.2500 0.3720  1 Ca 2.45, 1 Ac 2.59
N: 0.7500 0.7500 0.6280  1 Ca 2.45, 1 Ac 2.59

(11)
CaAcN after structural relaxation. Source: Alexandria, functional GGA-PBE.

Values from the calculation:
raw total energy	-4.531	eV per atom
SG	I4mm (107)

abc: 5.3450 5.3450 7.9669
angles: 90.00 90.00 90.00
With the nearest neighbours (Å) after each atom.
Sites, in units of the cell vectors:
Ca: 0.0000 0.0000 0.0000  1 N 2.10
Ca: 0.5000 0.5000 0.5000  1 N 2.10
Ac: 0.0000 0.0000 0.4686  1 N 2.13
Ac: 0.5000 0.5000 0.9686  1 N 2.13
N: 0.0000 0.0000 0.7365  1 Ca 2.10, 1 Ac 2.13
N: 0.5000 0.5000 0.2365  1 Ca 2.10, 1 Ac 2.13

(12)
CaAc3N3 after structural relaxation. Source: Alexandria, functional GGA-PBE.

Values from the calculation:
raw total energy	-6.452	eV per atom
SG	P6_3/mmc (194)

abc: 8.7132 8.7132 5.5894
angles: 90.00 90.00 120.00
With the nearest neighbours (Å) after each atom.
Sites, in units of the cell vectors:
Ca: 0.3333 0.6667 0.2500  3 N 2.52
Ca: 0.6667 0.3333 0.7500  3 N 2.52
Ac: 0.1662 0.3323 0.7500  4 N 2.51-2.79
Ac: 0.1662 0.8338 0.7500  4 N 2.51-2.79
Ac: 0.3323 0.1662 0.2500  4 N 2.51-2.79
Ac: 0.6677 0.8338 0.7500  4 N 2.51-2.79
Ac: 0.8338 0.1662 0.2500  4 N 2.51-2.79
Ac: 0.8338 0.6677 0.2500  4 N 2.51-2.79
N: 0.1666 0.3332 0.2500  4 Ac 2.51-2.79, 1 Ca 2.52
N: 0.1666 0.8334 0.2500  4 Ac 2.51-2.79, 1 Ca 2.52
N: 0.3332 0.1666 0.7500  4 Ac 2.51-2.79, 1 Ca 2.52
N: 0.6668 0.8334 0.2500  4 Ac 2.51-2.79, 1 Ca 2.52
N: 0.8334 0.1666 0.7500  4 Ac 2.51-2.79, 1 Ca 2.52
N: 0.8334 0.6668 0.7500  4 Ac 2.51-2.79, 1 Ca 2.52

Respective energy relative to the elements, uncorrected values: -0.44; -0.75; -0.14; -0.66; -0.09; -0.61; -0.53; -0.42; -0.58; -0.70; 0.28; -0.84 eV per atom.